# Pb2BrOF, relaxed, DFT PBE
data_Pb2BrOF
_cell_length_a 4.1170
_cell_length_b 4.1170
_cell_length_c 13.2889
_cell_angle_alpha 90.00
_cell_angle_beta 90.00
_cell_angle_gamma 90.00
_symmetry_space_group_name_H-M 'I -4 m 2'
_symmetry_Int_Tables_number 119
_symmetry_space_group_name_Hall 'I -4 -2'
loop_
_atom_site_label
_atom_site_type_symbol
_atom_site_fract_x
_atom_site_fract_y
_atom_site_fract_z
Pb1 Pb 0.0000 0.0000 0.1508
Br1 Br 0.0000 0.0000 0.5000
O1 O 0.0000 0.5000 0.2500
F1 F 0.0000 0.5000 0.7500
# Electronic total energy in eV per atom: -4.64
# Size of the total moment in Bohr magnetons per cell: 0.0

***

# Cs2ErIrO6, relaxed, DFT PBE
data_Cs2ErIrO6
_cell_length_a 6.6512
_cell_length_b 6.6512
_cell_length_c 5.7090
_cell_angle_alpha 90.00
_cell_angle_beta 90.00
_cell_angle_gamma 120.00
_symmetry_space_group_name_H-M 'P -3 m 1'
_symmetry_Int_Tables_number 164
_symmetry_space_group_name_Hall '-P 3 2"'
loop_
_atom_site_label
_atom_site_type_symbol
_atom_site_fract_x
_atom_site_fract_y
_atom_site_fract_z
Cs1 Cs 0.3333 0.6667 0.3468
Er1 Er 0.0000 0.0000 0.0000
Ir1 Ir 0.0000 0.0000 0.5000
O1 O 0.1325 0.2650 0.7096
# Electronic total energy in eV per atom: -6.06
# Size of the total moment in Bohr magnetons per cell: 2.0

***

# Tc2SnSb2, relaxed, DFT PBE
data_Tc2SnSb2
_cell_length_a 7.7936
_cell_length_b 7.7936
_cell_length_c 3.2198
_cell_angle_alpha 90.00
_cell_angle_beta 90.00
_cell_angle_gamma 90.00
_symmetry_space_group_name_H-M 'P 4/m b m'
_symmetry_Int_Tables_number 127
_symmetry_space_group_name_Hall '-P 4 2ab'
loop_
_atom_site_label
_atom_site_type_symbol
_atom_site_fract_x
_atom_site_fract_y
_atom_site_fract_z
Tc1 Tc 0.1462 0.3538 0.0000
Sn1 Sn 0.0000 0.0000 0.0000
Sb1 Sb 0.1466 0.6466 0.5000
# Energy above the most stable polymorph in this dataset in eV per formula unit: 0.000
# Electronic total energy in eV per atom: -6.40
# Size of the total moment in Bohr magnetons per cell: 0.0

***

# AlS2I, relaxed, DFT PBE
data_AlS2I
_cell_length_a 6.7559
_cell_length_b 6.7559
_cell_length_c 9.5516
_cell_angle_alpha 90.00
_cell_angle_beta 90.00
_cell_angle_gamma 90.00
_symmetry_space_group_name_H-M 'I -4 2 d'
_symmetry_Int_Tables_number 122
_symmetry_space_group_name_Hall 'I -4 2bw'
loop_
_atom_site_label
_atom_site_type_symbol
_atom_site_fract_x
_atom_site_fract_y
_atom_site_fract_z
Al1 Al 0.0000 0.0000 0.0000
S1 S 0.1421 0.2500 0.1250
I1 I 0.0000 0.0000 0.5000
# Energy above the most stable polymorph in this dataset in eV per formula unit: 1.263
# Electronic total energy in eV per atom: -3.57
# Size of the total moment in Bohr magnetons per cell: 7.6

***

# TbMg2Pb5, relaxed, DFT PBE
data_TbMg2Pb5
_cell_length_a 8.4301
_cell_length_b 8.4301
_cell_length_c 12.6771
_cell_angle_alpha 90.00
_cell_angle_beta 90.00
_cell_angle_gamma 90.00
_symmetry_space_group_name_H-M 'I 4/m c m'
_symmetry_Int_Tables_number 140
_symmetry_space_group_name_Hall '-I 4 2c'
loop_
_atom_site_label
_atom_site_type_symbol
_atom_site_fract_x
_atom_site_fract_y
_atom_site_fract_z
Tb1 Tb 0.0000 0.0000 0.2500
Mg1 Mg 0.1398 0.3602 0.0000
Pb1 Pb 0.0000 0.0000 0.0000
Pb2 Pb 0.1497 0.3503 0.3397
# Energy above the most stable polymorph in this dataset in eV per formula unit: 0.041
# Electronic total energy in eV per atom: -3.41
# Size of the total moment in Bohr magnetons per cell: 0.0
# Formation enthalpy at 0 K in eV per atom: -0.116

***

# MgTlInSb, relaxed, DFT PBE
data_MgTlInSb
_cell_length_a 7.5690
_cell_length_b 7.5690
_cell_length_c 7.5690
_cell_angle_alpha 90.00
_cell_angle_beta 90.00
_cell_angle_gamma 90.00
_symmetry_space_group_name_H-M 'F -4 3 m'
_symmetry_Int_Tables_number 216
_symmetry_space_group_name_Hall 'F -4 2 3'
loop_
_atom_site_label
_atom_site_type_symbol
_atom_site_fract_x
_atom_site_fract_y
_atom_site_fract_z
Mg1 Mg 0.0000 0.0000 0.0000
Tl1 Tl 0.2500 0.2500 0.2500
In1 In 0.0000 0.0000 0.5000
Sb1 Sb 0.2500 0.2500 0.7500
# Electronic total energy in eV per atom: -2.71
# Size of the total moment in Bohr magnetons per cell: 0.0

***

# Hf3Zr6Sc, relaxed, DFT PBE
data_Hf3Zr6Sc
_cell_length_a 30.9105
_cell_length_b 3.1439
_cell_length_c 10.0241
_cell_angle_alpha 90.00
_cell_angle_beta 108.90
_cell_angle_gamma 90.00
_symmetry_space_group_name_H-M 'C 1 2/m 1'
_symmetry_Int_Tables_number 12
loop_
_symmetry_equiv_pos_as_xyz
'x,y,z'
'-x,-y,-z'
'-x,y,-z'
'x,-y,z'
'x+1/2,y+1/2,z'
'-x+1/2,-y+1/2,-z'
'-x+1/2,y+1/2,-z'
'x+1/2,-y+1/2,z'
loop_
_atom_site_label
_atom_site_type_symbol
_atom_site_fract_x
_atom_site_fract_y
_atom_site_fract_z
Hf1 Hf 0.0234 0.0000 0.3964
Hf2 Hf 0.1712 0.0000 0.8067
Hf3 Hf 0.1742 0.0000 0.2905
Zr1 Zr 0.0290 0.0000 0.9051
Zr2 Zr 0.0723 0.5000 0.6863
Zr3 Zr 0.1243 0.5000 0.9977
Zr4 Zr 0.1250 0.0000 0.5016
Zr5 Zr 0.2212 0.5000 0.5897
Zr6 Zr 0.2253 0.5000 0.0982
Sc1 Sc 0.0728 0.5000 0.2099
# Energy above the most stable polymorph in this dataset in eV per formula unit: 0.000
# Electronic total energy in eV per atom: -8.72
# Size of the total moment in Bohr magnetons per cell: 0.0
# Formation enthalpy at 0 K in eV per atom: 0.031

***

# PuPaTi3, relaxed, DFT PBE
data_PuPaTi3
_cell_length_a 4.6554
_cell_length_b 9.5498
_cell_length_c 9.0575
_cell_angle_alpha 90.00
_cell_angle_beta 90.00
_cell_angle_gamma 90.00
_symmetry_space_group_name_H-M 'A m a 2'
_symmetry_Int_Tables_number 40
loop_
_symmetry_equiv_pos_as_xyz
'x,y,z'
'-x,-y,z'
'-x+1/2,y,z'
'x+1/2,-y,z'
'x,y+1/2,z+1/2'
'-x,-y+1/2,z+1/2'
'-x+1/2,y+1/2,z+1/2'
'x+1/2,-y+1/2,z+1/2'
loop_
_atom_site_label
_atom_site_type_symbol
_atom_site_fract_x
_atom_site_fract_y
_atom_site_fract_z
Pu1 Pu 0.2500 0.1084 0.0000
Pa1 Pa 0.2500 0.3798 0.9998
Ti1 Ti 0.2500 0.0996 0.2891
Ti2 Ti 0.2500 0.2595 0.6523
Ti3 Ti 0.2500 0.3993 0.3003
# Electronic total energy in eV per atom: -9.24
# Size of the total moment in Bohr magnetons per cell: 16.8
# Formation enthalpy at 0 K in eV per atom: 0.265

***

# TaTl2As, relaxed, DFT PBE
data_TaTl2As
_cell_length_a 3.6660
_cell_length_b 5.1498
_cell_length_c 10.2531
_cell_angle_alpha 90.00
_cell_angle_beta 90.00
_cell_angle_gamma 90.00
_symmetry_space_group_name_H-M 'C m m 2'
_symmetry_Int_Tables_number 35
loop_
_symmetry_equiv_pos_as_xyz
'x,y,z'
'-x,-y,z'
'-x,y,z'
'x,-y,z'
'x+1/2,y+1/2,z'
'-x+1/2,-y+1/2,z'
'-x+1/2,y+1/2,z'
'x+1/2,-y+1/2,z'
loop_
_atom_site_label
_atom_site_type_symbol
_atom_site_fract_x
_atom_site_fract_y
_atom_site_fract_z
Ta1 Ta 0.0000 0.0000 0.0000
Tl1 Tl 0.0000 0.0000 0.5266
Tl2 Tl 0.0000 0.5000 0.2376
As1 As 0.0000 0.5000 0.8238
# Energy above the most stable polymorph in this dataset in eV per formula unit: 0.344
# Electronic total energy in eV per atom: -5.13
# Size of the total moment in Bohr magnetons per cell: 0.0
# Formation enthalpy at 0 K in eV per atom: 0.183

***

# ReTe2Au, relaxed, DFT PBE
data_ReTe2Au
_cell_length_a 3.1407
_cell_length_b 5.2873
_cell_length_c 10.8149
_cell_angle_alpha 90.00
_cell_angle_beta 90.00
_cell_angle_gamma 90.00
_symmetry_space_group_name_H-M 'C m m m'
_symmetry_Int_Tables_number 65
_symmetry_space_group_name_Hall '-C 2 2'
loop_
_atom_site_label
_atom_site_type_symbol
_atom_site_fract_x
_atom_site_fract_y
_atom_site_fract_z
Re1 Re 0.0000 0.0000 0.0000
Te1 Te 0.0000 0.5000 0.2094
Au1 Au 0.0000 0.0000 0.5000
# Energy above the most stable polymorph in this dataset in eV per formula unit: 1.624
# Electronic total energy in eV per atom: -4.83
# Size of the total moment in Bohr magnetons per cell: 0.0

***

Please write out number 1 again, unchanged.
# Pb2BrOF, relaxed, DFT PBE
data_Pb2BrOF
_cell_length_a 4.1170
_cell_length_b 4.1170
_cell_length_c 13.2889
_cell_angle_alpha 90.00
_cell_angle_beta 90.00
_cell_angle_gamma 90.00
_symmetry_space_group_name_H-M 'I -4 m 2'
_symmetry_Int_Tables_number 119
_symmetry_space_group_name_Hall 'I -4 -2'
loop_
_atom_site_label
_atom_site_type_symbol
_atom_site_fract_x
_atom_site_fract_y
_atom_site_fract_z
Pb1 Pb 0.0000 0.0000 0.1508
Br1 Br 0.0000 0.0000 0.5000
O1 O 0.0000 0.5000 0.2500
F1 F 0.0000 0.5000 0.7500
# Electronic total energy in eV per atom: -4.64
# Size of the total moment in Bohr magnetons per cell: 0.0

***

Q: The highest size of the total moment belongs to which entry?
A: PuPaTi3

***

Q: Look up the electronic total energy of the fifth one.
A: -3.41 eV per atom

***

Q: Which value of size of the total moment does entry 4 give?
A: 7.6 Bohr magnetons per cell